This record from the Alexandria database describes CaAcPb after structural relaxation. The functional is GGA-PBE.

Properties
**Electronic total energy**: -3.724 eV/atom
**Density**: 7521 kg/m3
**M_tot**: 0.000 μB/f.u.
**Space group**: Cmcm

Unit cell a=5.6749 b=5.6749 c=7.5155 alpha=90.00 beta=90.00 gamma=120.09
With the nearest neighbours (Å) after each atom.
Positions (direct):
Ca1 0.1670 0.8330 0.7500  3 Pb 3.27-3.28
Ca2 0.8330 0.1670 0.2500  3 Pb 3.27-3.28
Ac1 0.5000 0.5000 0.0000  2 Ac 3.76, 6 Pb 3.77-3.78, 6 Ca 3.78
Ac2 0.5000 0.5000 0.5000  2 Ac 3.76, 6 Pb 3.77-3.78, 6 Ca 3.78
Pb1 0.1662 0.8338 0.2500  3 Ca 3.27-3.28
Pb2 0.8338 0.1662 0.7500  3 Ca 3.27-3.28


This record from the Alexandria database describes CaAcPb after structural relaxation. The functional is GGA-PBE.

Properties
**Electronic total energy**: -3.631 eV/atom
**Density**: 6507 kg/m3
**M_tot**: 0.000 μB/f.u.
**Space group**: F-43m

Unit cell a=5.5522 b=5.5522 c=5.5522 alpha=60.00 beta=60.00 gamma=60.00
With the nearest neighbours (Å) after each atom.
Positions (direct):
Ca1 0.0000 0.0000 0.0000  4 Pb 3.40
Ac1 0.5000 0.5000 0.5000  4 Pb 3.40
Pb1 0.7500 0.7500 0.7500  4 Ac 3.40, 4 Ca 3.40


This record from the Alexandria database describes Ca2Ac5Pb4 after structural relaxation. The functional is GGA-PBE.

Properties
**Electronic total energy**: -3.889 eV/atom
**Density**: 7545 kg/m3
**M_tot**: 2.259 μB/f.u.
**Space group**: C2/m

Unit cell a=12.1324 b=12.1324 c=8.2266 alpha=109.77 beta=109.77 gamma=23.32
With the nearest neighbours (Å) after each atom.
Positions (direct):
Ca1 0.0718 0.0718 0.0720  5 Pb 3.14-3.38, 1 Ca 3.20
Ca2 0.9282 0.9282 0.9280  5 Pb 3.14-3.38, 1 Ca 3.20
Ac1 0.0000 0.0000 0.5000  4 Pb 3.44
Ac2 0.3375 0.3375 0.1008  4 Pb 3.40-3.65
Ac3 0.3376 0.3376 0.5738  4 Pb 3.40-3.65
Ac4 0.6624 0.6624 0.4262  4 Pb 3.40-3.65
Ac5 0.6625 0.6625 0.8992  4 Pb 3.40-3.65
Pb1 0.2125 0.2125 0.2127  1 Ca 3.14, 6 Ac 3.40-3.46
Pb2 0.4999 0.4999 0.2062  4 Ca 3.38, 1 Pb 3.39, 4 Ac 3.44-3.65
Pb3 0.5001 0.5001 0.7938  4 Ca 3.38, 1 Pb 3.39, 4 Ac 3.44-3.65
Pb4 0.7875 0.7875 0.7873  1 Ca 3.14, 6 Ac 3.40-3.46


This record from the Alexandria database describes CaAc2Pb2 after structural relaxation. The functional is GGA-PBE.

Properties
**Electronic total energy**: -3.996 eV/atom
**Density**: 7893 kg/m3
**M_tot**: 0.000 μB/f.u.
**Space group**: Cmc2_1

Unit cell a=10.0668 b=10.0668 c=7.3978 alpha=90.00 beta=90.00 gamma=149.35
With the nearest neighbours (Å) after each atom.
Positions (direct):
Ca1 0.1066 0.8934 0.5000  4 Pb 3.14-3.44
Ca2 0.8934 0.1066 0.0000  4 Pb 3.14-3.44
Ac1 0.3040 0.6960 0.5962  6 Pb 3.51-3.79, 1 Ca 3.90
Ac2 0.4801 0.5199 0.2944  5 Pb 3.43-3.64, 2 Ac 3.78, 2 Ca 3.83
Ac3 0.5199 0.4801 0.7944  5 Pb 3.43-3.64, 2 Ac 3.78, 2 Ca 3.83
Ac4 0.6960 0.3040 0.0962  6 Pb 3.51-3.79, 1 Ca 3.90
Pb1 0.0695 0.9305 0.0554  2 Ca 3.37-3.44, 6 Ac 3.43-3.64
Pb2 0.3138 0.6862 0.0850  2 Ca 3.14, 2 Ac 3.51
Pb3 0.6862 0.3138 0.5850  2 Ca 3.14, 2 Ac 3.51
Pb4 0.9305 0.0695 0.5554  2 Ca 3.37-3.44, 6 Ac 3.43-3.64


DOS at the Fermi energy
In order: 3.11, 2.24, 10.08, 3.41
Unit: states/eV per cell